i | Compound: CsSi2Mo2
Source: the Alexandria database
Functional: PBE
Structure: optimized geometry

Lattice parameters (Å, degrees): 8.2317 8.2317 2.8837 90.00 90.00 90.00
Last column: nearest neighbours and their distance in Å.
Fractional coordinates of all 10 atoms:
Cs 0.0000 0.0000 0.0000  2 Cs 2.88, 4 Si 3.20
Cs 0.5000 0.5000 0.0000  2 Cs 2.88, 4 Si 3.20
Si 0.1358 0.3642 0.0000  4 Mo 2.65, 2 Si 2.88
Si 0.3642 0.8642 0.0000  4 Mo 2.65, 2 Si 2.88
Si 0.6358 0.1358 0.0000  4 Mo 2.65, 2 Si 2.88
Si 0.8642 0.6358 0.0000  4 Mo 2.65, 2 Si 2.88
Mo 0.1338 0.6338 0.5000  4 Si 2.65, 2 Mo 2.88
Mo 0.3662 0.1338 0.5000  4 Si 2.65, 2 Mo 2.88
Mo 0.6338 0.8662 0.5000  4 Si 2.65, 2 Mo 2.88
Mo 0.8662 0.3662 0.5000  4 Si 2.65, 2 Mo 2.88

Computed properties:
symmetry = P4/mbm, No. 127

ii | Compound: CsSi2Mo2
Source: the Alexandria database
Functional: PBE
Structure: optimized geometry

Lattice parameters (Å, degrees): 8.1451 8.1451 8.1451 150.36 150.36 42.41
Last column: nearest neighbours and their distance in Å.
Fractional coordinates of all 5 atoms:
Cs 0.0000 0.0000 0.0000  8 Si 3.83, 4 Cs 4.17
Si 0.3388 0.3388 0.0000  4 Mo 2.48
Si 0.6612 0.6612 0.0000  4 Mo 2.48
Mo 0.2500 0.7500 0.5000  4 Si 2.48
Mo 0.7500 0.2500 0.5000  4 Si 2.48

Computed properties:
symmetry = I4/mmm, No. 139

Winner for stability: ii

i | Compound: CsSi3Mo
Source: the Alexandria database
Functional: PBE
Structure: optimized geometry

Lattice parameters (Å, degrees): 4.8841 4.8841 4.8841 90.00 90.00 90.00
Last column: nearest neighbours and their distance in Å.
Fractional coordinates of all 5 atoms:
Cs 0.0000 0.0000 0.0000  12 Si 3.45
Si 0.0000 0.5000 0.5000  2 Mo 2.44
Si 0.5000 0.0000 0.5000  2 Mo 2.44
Si 0.5000 0.5000 0.0000  2 Mo 2.44
Mo 0.5000 0.5000 0.5000  6 Si 2.44

Computed properties:
symmetry = Pm-3m, No. 221

ii | Compound: CsSi3Mo
Source: the Alexandria database
Functional: PBE
Structure: optimized geometry

Lattice parameters (Å, degrees): 5.1654 5.1654 5.1654 90.00 90.00 90.00
Last column: nearest neighbours and their distance in Å.
Fractional coordinates of all 5 atoms:
Cs 0.0000 0.0000 0.0000  6 Si 2.58
Si 0.0000 0.0000 0.5000  2 Cs 2.58
Si 0.0000 0.5000 0.0000  2 Cs 2.58
Si 0.5000 0.0000 0.0000  2 Cs 2.58
Mo 0.5000 0.5000 0.5000  12 Si 3.65

Computed properties:
symmetry = Pm-3m, No. 221

Winner for stability: i

i | Compound: CsSn3Mo
Source: the Alexandria database
Functional: PBE
Structure: optimized geometry

Lattice parameters (Å, degrees): 6.0522 6.0522 6.0522 90.00 90.00 90.00
Last column: nearest neighbours and their distance in Å.
Fractional coordinates of all 5 atoms:
Cs 0.0000 0.0000 0.0000  6 Sn 3.03
Sn 0.0000 0.0000 0.5000  2 Cs 3.03
Sn 0.0000 0.5000 0.0000  2 Cs 3.03
Sn 0.5000 0.0000 0.0000  2 Cs 3.03
Mo 0.5000 0.5000 0.5000  12 Sn 4.28

Computed properties:
symmetry = Pm-3m, No. 221

ii | Compound: CsSn3Mo
Source: the Alexandria database
Functional: PBE
Structure: optimized geometry

Lattice parameters (Å, degrees): 5.3671 5.3671 5.3671 90.00 90.00 90.00
Last column: nearest neighbours and their distance in Å.
Fractional coordinates of all 5 atoms:
Cs 0.0000 0.0000 0.0000  12 Sn 3.80
Sn 0.0000 0.5000 0.5000  2 Mo 2.68
Sn 0.5000 0.0000 0.5000  2 Mo 2.68
Sn 0.5000 0.5000 0.0000  2 Mo 2.68
Mo 0.5000 0.5000 0.5000  6 Sn 2.68

Computed properties:
symmetry = Pm-3m, No. 221

Winner for stability: ii

i | Compound: CsSnMo3
Source: the Alexandria database
Functional: PBE
Structure: optimized geometry

Lattice parameters (Å, degrees): 5.4127 5.4127 5.4127 90.00 90.00 90.00
Last column: nearest neighbours and their distance in Å.
Fractional coordinates of all 5 atoms:
Cs 0.0000 0.0000 0.0000  12 Mo 3.83
Sn 0.5000 0.5000 0.5000  6 Mo 2.71
Mo 0.0000 0.5000 0.5000  2 Sn 2.71
Mo 0.5000 0.0000 0.5000  2 Sn 2.71
Mo 0.5000 0.5000 0.0000  2 Sn 2.71

Computed properties:
symmetry = Pm-3m, No. 221

ii | Compound: CsSnMo3
Source: the Alexandria database
Functional: PBE
Structure: optimized geometry

Lattice parameters (Å, degrees): 4.9730 4.9730 4.9730 90.00 90.00 90.00
Last column: nearest neighbours and their distance in Å.
Fractional coordinates of all 5 atoms:
Cs 0.0000 0.0000 0.0000  6 Mo 2.49
Sn 0.5000 0.5000 0.5000  12 Mo 3.52
Mo 0.0000 0.0000 0.5000  2 Cs 2.49
Mo 0.0000 0.5000 0.0000  2 Cs 2.49
Mo 0.5000 0.0000 0.0000  2 Cs 2.49

Computed properties:
symmetry = Pm-3m, No. 221

Winner for stability: i